Tb4PmTm | PBE | optimized geometry

Calculated values
Total energy ... -4.3572 eV/atom
Polymorph energy (0 for the lowest one) ... 251 meV per atom

a b c (Å): 9.3035 9.3035 9.3035
angles (deg): 90.00 90.00 90.00
Closest atoms and distances in Å follow each position.
Space group F-43m (No. 216)
Inequivalent atoms, fractional coordinates:
1 Tb 0.1247 0.1247 0.1247  6 Tb 3.28-3.30
2 Pm 0.0000 0.0000 0.5000  12 Tb 3.86, 4 Tm 4.03
3 Tm 0.2500 0.2500 0.7500  12 Tb 3.86, 4 Pm 4.03